The following is a PBE calculation of BaBrO after structural relaxation, from Alexandria.

Cell lengths 4.3477, 6.5213, 7.3128 Å; angles 65.44, 72.86, 70.71 degrees
Closest atoms and distances in Å follow each position.
Fractional positions:
Ba: 0.4859 0.3572 0.6110  3 O 2.59-2.64
Ba: 0.0215 0.8200 0.0750  3 O 2.59
Br: 0.7401 0.7534 0.7054  2 O 3.24-3.35, 5 Ba 3.49-3.54
Br: 0.2483 0.2458 0.1968  2 O 2.09-2.15
O: 0.4400 0.0657 0.9936  1 Br 2.09
O: 0.0498 0.4436 0.3959  1 Br 2.15

Properties
Electronic total energy: -4.761 eV per atom
ΔE_f (raw): -1910 meV per atom



The following is a PBE calculation of Th4Pd15Pt after structural relaxation, from Alexandria.

Cell lengths 4.2074, 4.2074, 20.4836 Å; angles 90.00, 90.00, 90.00 degrees
Closest atoms and distances in Å follow each position.
Fractional positions:
Th: 0.0000 0.0000 0.1858  12 Pd 2.83-3.08
Th: 0.0000 0.0000 0.3957  12 Pd 2.94-3.00
Th: 0.0000 0.0000 0.6043  12 Pd 2.94-3.00
Th: 0.0000 0.0000 0.8142  12 Pd 2.83-3.08
Pd: 0.5000 0.5000 0.0000  8 Pd 2.84, 4 Pt 2.98
Pd: 0.5000 0.5000 0.1953  8 Pd 2.94-2.97, 4 Th 2.98
Pd: 0.5000 0.5000 0.3982  8 Pd 2.96-2.97, 4 Th 2.98
Pd: 0.5000 0.5000 0.6018  8 Pd 2.96-2.97, 4 Th 2.98
Pd: 0.5000 0.5000 0.8047  8 Pd 2.94-2.97, 4 Th 2.98
Pd: 0.5000 0.0000 0.0931  2 Th 2.83, 8 Pd 2.84-2.98, 2 Pt 2.84
Pd: 0.5000 0.0000 0.2957  4 Th 2.94-3.08, 8 Pd 2.94-2.98
Pd: 0.5000 0.0000 0.5000  8 Pd 2.96-2.98, 4 Th 3.00
Pd: 0.5000 0.0000 0.7043  4 Th 2.94-3.08, 8 Pd 2.94-2.98
Pd: 0.5000 0.0000 0.9069  2 Th 2.83, 8 Pd 2.84-2.98, 2 Pt 2.84
Pd: 0.0000 0.5000 0.0931  2 Th 2.83, 8 Pd 2.84-2.98, 2 Pt 2.84
Pd: 0.0000 0.5000 0.2957  4 Th 2.94-3.08, 8 Pd 2.94-2.98
Pd: 0.0000 0.5000 0.5000  8 Pd 2.96-2.98, 4 Th 3.00
Pd: 0.0000 0.5000 0.7043  4 Th 2.94-3.08, 8 Pd 2.94-2.98
Pd: 0.0000 0.5000 0.9069  2 Th 2.83, 8 Pd 2.84-2.98, 2 Pt 2.84
Pt: 0.0000 0.0000 0.0000  12 Pd 2.84-2.98

Properties
Electronic total energy: -6.448 eV per atom
Formation enthalpy at 0 K: -768 meV per atom



The following is a PBE calculation of Na6SrCl8 after structural relaxation, from Alexandria.

Cell lengths 8.1575, 8.1575, 8.1575 Å; angles 60.00, 60.00, 60.00 degrees
Closest atoms and distances in Å follow each position.
Fractional positions:
Na: 0.0000 0.5000 0.5000  6 Cl 2.88
Na: 0.5000 0.0000 0.0000  6 Cl 2.88
Na: 0.5000 0.5000 0.0000  6 Cl 2.88
Na: 0.0000 0.0000 0.5000  6 Cl 2.88
Na: 0.0000 0.5000 0.0000  6 Cl 2.88
Na: 0.5000 0.0000 0.5000  6 Cl 2.88
Sr: 0.0000 0.0000 0.0000  6 Cl 2.85
Cl: 0.7500 0.7500 0.7500  6 Na 2.88
Cl: 0.2500 0.2500 0.2500  6 Na 2.88
Cl: 0.7527 0.2473 0.2473  1 Sr 2.85, 4 Na 2.88
Cl: 0.2473 0.7527 0.7527  1 Sr 2.85, 4 Na 2.88
Cl: 0.2473 0.2473 0.7527  1 Sr 2.85, 4 Na 2.88
Cl: 0.7527 0.7527 0.2473  1 Sr 2.85, 4 Na 2.88
Cl: 0.7527 0.2473 0.7527  1 Sr 2.85, 4 Na 2.88
Cl: 0.2473 0.7527 0.2473  1 Sr 2.85, 4 Na 2.88

Properties
Electronic total energy: -3.540 eV per atom
ΔE_f (raw): -1915 meV per atom



The following is a PBE calculation of SrTb2PrSe4 after structural relaxation, from Alexandria.

Cell lengths 4.1796, 7.3188, 7.3091 Å; angles 71.01, 90.00, 90.00 degrees
Closest atoms and distances in Å follow each position.
Fractional positions:
Sr: 0.5000 0.5000 0.0000  6 Se 3.04-3.05
Tb: 0.0000 0.0000 0.0000  6 Se 2.92
Tb: 0.5000 0.0000 0.5000  6 Se 2.91-2.92
Pr: 0.0000 0.5000 0.5000  6 Se 3.04
Se: 0.0000 0.7667 0.7435  3 Tb 2.91-2.92, 1 Pr 3.04, 2 Sr 3.05
Se: 0.0000 0.2333 0.2565  3 Tb 2.91-2.92, 1 Pr 3.04, 2 Sr 3.05
Se: 0.5000 0.7653 0.2452  3 Tb 2.92, 1 Sr 3.04, 2 Pr 3.04
Se: 0.5000 0.2347 0.7548  3 Tb 2.92, 1 Sr 3.04, 2 Pr 3.04

Properties
Electronic total energy: -5.551 eV per atom
ΔE_f (raw): -1843 meV per atom



The following is a PBE calculation of P4IrRh after structural relaxation, from Alexandria.

Cell lengths 4.9236, 4.9236, 4.9236 Å; angles 60.00, 60.00, 60.00 degrees
Closest atoms and distances in Å follow each position.
Fractional positions:
P: 0.8749 0.3750 0.3750  6 P 2.46
P: 0.3750 0.3750 0.8749  6 P 2.46
P: 0.3750 0.8749 0.3750  6 P 2.46
P: 0.3750 0.3750 0.3750  6 P 2.46
Ir: 0.0000 0.0000 0.0000  12 P 2.89, 4 Rh 3.02
Rh: 0.7500 0.7500 0.7500  12 P 2.89, 4 Ir 3.02

Properties
Electronic total energy: -5.562 eV per atom
Formation enthalpy at 0 K: 747 meV per atom